This record from Alexandria describes an optimized crystal structure of MnCNF2. The functional is GGA+U.

Results
**E_tot**: -6.115 eV per atom
**Space-group type**: P4/mmm (123)
**Crystal system**: tetragonal

a = 4.5466 Å, b = 4.5466 Å, c = 2.5046 Å
α = 90.00°, β = 90.00°, γ = 90.00°
Last column: magnetic moment on the atom in μB.
Sites, in units of the cell vectors:
N 0.0000 0.0000 0.5000  0.02
F 0.0000 0.5000 0.0000  0.00
F 0.5000 0.0000 0.0000  0.00
Mn 0.5000 0.5000 0.5000  4.45
C 0.0000 0.0000 0.0000  -0.07